# BeTcNiBi

A relaxed BeTcNiBi crystal (PBE, OQMD via LeMat-Bulk).

a = 4.3793 Å, b = 4.3793 Å, c = 4.3793 Å
α = 60.00°, β = 60.00°, γ = 60.00°
Sites, in units of the cell vectors:
Be (0.0000, 0.0000, 0.0000)
Tc (0.7500, 0.7500, 0.7500)
Ni (0.5000, 0.5000, 0.5000)
Bi (0.2500, 0.2500, 0.2500)

Output
Total DFT energy (no corrections), eV/atom: -5.287
ΔE to the lowest computed polymorph, meV/atom: 179